(1)
CaCuNiH6 | GGA-PBE | optimized geometry

Electronic total energy   -3.797 eV/atom
Crystal system   hexagonal

a = 4.447 Å, b = 4.447 Å, c = 4.309 Å
α = 90.00°, β = 90.00°, γ = 120.00°
Sites, in units of the cell vectors:
Ca 0.000 0.000 0.000
Cu 0.333 0.667 0.500
Ni 0.667 0.333 0.500
H 0.509 0.018 0.257
H 0.509 0.018 0.743
H 0.509 0.491 0.257
H 0.509 0.491 0.743
H 0.982 0.491 0.257
H 0.982 0.491 0.743

(2)
LaSmZnCo | GGA-PBE | optimized geometry

Electronic total energy   -4.627 eV/atom
Crystal system   cubic
Formation enthalpy at 0 K   -0.120 eV/atom

a = 5.060 Å, b = 5.060 Å, c = 5.060 Å
α = 60.00°, β = 60.00°, γ = 60.00°
Sites, in units of the cell vectors:
La 0.000 0.000 0.000
Sm 0.500 0.500 0.500
Zn 0.250 0.250 0.250
Co 0.750 0.750 0.750

(3)
Th5Te4Pd | GGA-PBE | optimized geometry

Electronic total energy   -6.453 eV/atom
Formation energy without anion corrections   -0.967 eV/atom
Crystal system   triclinic

a = 6.272 Å, b = 7.675 Å, c = 7.677 Å
α = 80.45°, β = 65.95°, γ = 65.99°
Sites, in units of the cell vectors:
Th 0.000 0.000 0.000
Th 0.227 0.376 0.170
Th 0.397 0.830 0.376
Th 0.603 0.170 0.624
Th 0.773 0.624 0.830
Te 0.085 0.226 0.603
Te 0.311 0.602 0.775
Te 0.689 0.398 0.225
Te 0.915 0.774 0.397
Pd 0.500 0.000 0.000